[1]
# Nd2GdCd3Au3

Nd2GdCd3Au3 after structural relaxation (PBE-GGA, the Open Quantum Materials Database).

## Properties
Total DFT energy (no corrections) (eV per cell): -32.60
Space-group type: No. 38
E_form (eV per atom): -0.66

Cell: 4.0207 7.8782 7.8782 Å, 119.84 90.00 90.00°
Sites, in units of the cell vectors:
Au1 0.5000 0.6655 0.3377
Au2 0.5000 0.3377 0.6655
Au3 0.0000 0.9981 0.9981
Cd1 0.5000 0.2598 0.2598
Cd2 0.5000 0.9983 0.7410
Cd3 0.5000 0.7410 0.9983
Gd1 0.0000 0.5946 0.5946
Nd1 0.0000 0.4051 0.0000
Nd2 0.0000 0.0000 0.4051

---

[2]
# Nd2GdCd3Pd2Au

Nd2GdCd3Pd2Au after structural relaxation (PBE-GGA, the Open Quantum Materials Database).

## Properties
Total DFT energy (no corrections) (eV per cell): -36.52
Space-group type: No. 38
E_form (eV per atom): -0.67

Cell: 4.0155 7.7578 7.7578 Å, 119.93 90.00 90.00°
Sites, in units of the cell vectors:
Au1 0.0000 0.9971 0.9971
Cd1 0.5000 0.2617 0.2617
Cd2 0.5000 0.9988 0.7391
Cd3 0.5000 0.7391 0.9988
Gd1 0.0000 0.5927 0.5927
Nd1 0.0000 0.9997 0.4079
Nd2 0.0000 0.4079 0.9997
Pd1 0.5000 0.6658 0.3373
Pd2 0.5000 0.3373 0.6658

---

[3]
# NdGd2Cd3Pd2Au

NdGd2Cd3Pd2Au after structural relaxation (PBE-GGA, the Open Quantum Materials Database).

## Properties
Total DFT energy (no corrections) (eV per cell): -36.46
Space-group type: No. 38
E_form (eV per atom): -0.68

Cell: 3.9790 7.7442 7.7442 Å, 120.08 90.00 90.00°
Sites, in units of the cell vectors:
Au1 0.0000 0.0026 0.0026
Cd1 0.5000 0.7381 0.0012
Cd2 0.5000 0.2612 0.2612
Cd3 0.5000 0.0012 0.7381
Gd1 0.0000 0.4076 0.0004
Gd2 0.0000 0.0004 0.4076
Nd1 0.0000 0.5919 0.5919
Pd1 0.5000 0.6673 0.3298
Pd2 0.5000 0.3298 0.6673

---

[4]
# NdGd2Cd3Pt2Au

NdGd2Cd3Pt2Au after structural relaxation (PBE-GGA, the Open Quantum Materials Database).

## Properties
Total DFT energy (no corrections) (eV per cell): -39.43
Space-group type: No. 38
E_form (eV per atom): -0.81

Cell: 3.9645 7.7605 7.7605 Å, 120.17 90.00 90.00°
Sites, in units of the cell vectors:
Au1 0.5000 0.0021 0.0021
Cd1 0.0000 0.7397 0.0011
Cd2 0.0000 0.2601 0.2601
Cd3 0.0000 0.0011 0.7397
Gd1 0.5000 0.4103 0.0006
Gd2 0.5000 0.0006 0.4103
Nd1 0.5000 0.5898 0.5898
Pt1 0.0000 0.6672 0.3290
Pt2 0.0000 0.3290 0.6672

---

[5]
# Nd2GdCd3Pt2Au

Nd2GdCd3Pt2Au after structural relaxation (PBE-GGA, the Open Quantum Materials Database).

## Properties
Total DFT energy (no corrections) (eV per cell): -39.46
Space-group type: No. 38
E_form (eV per atom): -0.80

Cell: 3.9970 7.7652 7.7652 Å, 119.72 90.00 90.00°
Sites, in units of the cell vectors:
Au1 0.0000 0.9979 0.9979
Cd1 0.5000 0.2595 0.2595
Cd2 0.5000 0.9985 0.7402
Cd3 0.5000 0.7402 0.9985
Gd1 0.0000 0.5895 0.5895
Nd1 0.0000 0.9996 0.4105
Nd2 0.0000 0.4105 0.9996
Pt1 0.5000 0.6660 0.3383
Pt2 0.5000 0.3383 0.6660

---

[6]
# Gd3Cd3Pd2Au

Gd3Cd3Pd2Au after structural relaxation (PBE-GGA, the Open Quantum Materials Database).

## Properties
Total DFT energy (no corrections) (eV per cell): -36.42
Space-group type: No. 189
E_form (eV per atom): -0.68

Cell: 7.7077 7.7077 3.9465 Å, 90.00 90.00 120.00°
Sites, in units of the cell vectors:
Au1 0.0000 0.0000 0.0000
Cd1 0.2638 0.0000 0.5000
Cd2 0.0000 0.2638 0.5000
Cd3 0.7362 0.7362 0.5000
Gd1 0.5930 0.0000 0.0000
Gd2 0.4070 0.4070 0.0000
Gd3 0.0000 0.5930 0.0000
Pd1 0.6667 0.3333 0.5000
Pd2 0.3333 0.6667 0.5000

---

> What is the formula in the fifth record?

Nd2GdCd3Pt2Au